No. 1
Computed, not measured: a relaxed structure of BaSr3Ir2 at the PBE-GGA level of DFT.

- Formation energy: -0.19 eV/atom
- Raw total energy: -51.633 eV/cell

abc: 9.6628 9.6628 12.8211
angles: 118.70 118.70 27.19
Fractional coordinates of all 12 atoms:
Ba  0.1573  0.1573  0.2411
Ba  0.8427  0.8427  0.7589
Sr  0.1650  0.1650  0.7517
Sr  0.4098  0.4098  0.5543
Sr  0.4109  0.4109  0.0671
Sr  0.5891  0.5891  0.9329
Sr  0.5902  0.5902  0.4457
Sr  0.8350  0.8350  0.2483
Ir  0.2400  0.2400  0.0250
Ir  0.2405  0.2405  0.5256
Ir  0.7595  0.7595  0.4744
Ir  0.7600  0.7600  0.9750


No. 2
Computed, not measured: a relaxed structure of PrTlBr2 at the PBE-GGA level of DFT.

- Raw total energy: -41.346 eV/cell
- E_form (uncorrected): -0.823 eV/atom

abc: 4.1740 4.1740 30.8096
angles: 90.00 90.00 120.00
Fractional coordinates of all 12 atoms:
Pr  0.0000  0.0000  0.0000
Pr  0.3333  0.6667  0.6667
Pr  0.6667  0.3333  0.3333
Tl  0.0000  0.0000  0.5000
Tl  0.3333  0.6667  0.1667
Tl  0.6667  0.3333  0.8333
Br  0.0000  0.0000  0.0935
Br  0.0000  0.0000  0.9065
Br  0.3333  0.6667  0.5732
Br  0.3333  0.6667  0.7602
Br  0.6667  0.3333  0.2398
Br  0.6667  0.3333  0.4268


No. 3
Computed, not measured: a relaxed structure of FeHg2As at the PBE-GGA level of DFT.

- Formation energy: 0.24 eV/atom
- Raw total energy: -25.514 eV/cell

abc: 12.9529 2.9142 4.7304
angles: 90.00 111.15 90.00
Fractional coordinates of all 8 atoms:
Fe  0.0000  0.0000  0.0000
Fe  0.5000  0.5000  0.0000
Hg  0.0216  0.5000  0.5213
Hg  0.2021  0.5000  0.2002
Hg  0.5216  0.0000  0.5213
Hg  0.7021  0.0000  0.2002
As  0.3458  0.0000  0.8461
As  0.8458  0.5000  0.8461


No. 4
Computed, not measured: a relaxed structure of CaPr8Dy6 at the PBE-GGA level of DFT.

- Formation energy: 0.17 eV/atom
- Raw total energy: -65.334 eV/cell

abc: 8.3464 8.3464 8.3464
angles: 72.41 72.41 72.41
Fractional coordinates of all 15 atoms:
Ca  0.0000  0.0000  0.0000
Pr  0.0526  0.8602  0.3814
Pr  0.1398  0.6186  0.9474
Pr  0.2391  0.2391  0.2391
Pr  0.3814  0.0526  0.8602
Pr  0.6186  0.9474  0.1398
Pr  0.7609  0.7609  0.7609
Pr  0.8602  0.3814  0.0526
Pr  0.9474  0.1398  0.6186
Dy  0.1755  0.4350  0.6171
Dy  0.3829  0.8245  0.5650
Dy  0.4350  0.6171  0.1755
Dy  0.5650  0.3829  0.8245
Dy  0.6171  0.1755  0.4350
Dy  0.8245  0.5650  0.3829